MgTiInCu: optimized geometry, GGA-PBE.

Structure (POSCAR):
```
MgTiInCu
1.0
3.068 0.000 0.000
0.000 3.068 0.000
0.000 0.000 7.667
Mg Ti In Cu
1 1 1 1
direct
0.500 0.500 0.778 Mg
0.500 0.500 0.363 Ti
0.000 0.000 0.082 In
0.000 0.000 0.562 Cu
```

Calculated values
Electronic total energy   -4.180 eV/atom
Formation energy from the elements   -38.1 kJ/mol of formula units